# PBE with a Hubbard U Rb2Nd2MgW4O16, optimized geometry
# Energy above the most stable polymorph in this dataset = 0 meV/atom
# Total DFT energy (no corrections) = -180.1 eV per cell
data_Rb2Nd2MgW4O16
_chemical_formula_sum 'Rb2 Nd2 Mg1 W4 O16'
_cell_length_a 7.5773
_cell_length_b 7.5878
_cell_length_c 8.2473
_cell_angle_alpha 87.41
_cell_angle_beta 62.99
_cell_angle_gamma 61.71
_space_group_name_H-M_alt 'P 1'
_space_group_IT_number 1
_space_group_name_Hall 'P 1'
loop_
_atom_site_label
_atom_site_fract_x
_atom_site_fract_y
_atom_site_fract_z
Rb1 0.0000 0.0000 0.0000
Rb2 0.3940 0.4923 0.7427
Nd1 0.4737 0.9831 0.0670
Nd2 0.9411 0.4852 0.6683
Mg1 0.8269 0.2412 0.3829
W1 0.0248 0.9160 0.5547
W2 0.4084 0.5356 0.1864
W3 0.5189 0.9414 0.5400
W4 0.9055 0.5439 0.1854
O1 0.0952 0.2529 0.1909
O2 0.1570 0.6062 0.1361
O3 0.1915 0.5931 0.4561
O4 0.2454 0.8591 0.2820
O5 0.2865 0.8679 0.5978
O6 0.3222 0.2094 0.5541
O7 0.4623 0.9496 0.7836
O8 0.5251 0.2617 0.1087
O9 0.5742 0.5993 0.9656
O10 0.6559 0.4550 0.2616
O11 0.6562 0.8559 0.2576
O12 0.7672 0.6244 0.4715
O13 0.7721 0.0081 0.4734
O14 0.8570 0.8662 0.7811
O15 0.8977 0.2176 0.5943
O16 0.9843 0.5054 0.9379

=====

# PBE with a Hubbard U Rb2Nd2MgW4O16, optimized geometry
# Energy above the most stable polymorph in this dataset = 26 meV/atom
# Total DFT energy (no corrections) = -358.9 eV per cell
data_Rb2Nd2MgW4O16
_chemical_formula_sum 'Rb4 Nd4 Mg2 W8 O32'
_cell_length_a 10.8022
_cell_length_b 11.5257
_cell_length_c 7.5804
_cell_angle_alpha 90.00
_cell_angle_beta 131.51
_cell_angle_gamma 90.00
_space_group_name_H-M_alt 'C 1 2 1'
_space_group_IT_number 5
_space_group_name_Hall 'C 2y'
loop_
_atom_site_label
_atom_site_fract_x
_atom_site_fract_y
_atom_site_fract_z
Rb1 0.0000 0.0000 0.0000
Rb2 0.0000 0.4765 0.5000
Nd1 0.0000 0.0234 0.5000
Nd2 0.0000 0.5093 0.0000
Mg1 0.0000 0.2505 0.0000
W1 0.2045 0.7678 0.4597
W2 0.2059 0.7462 0.9652
O1 0.0257 0.8571 0.7205
O2 0.0300 0.6534 0.2490
O3 0.1126 0.1733 0.4096
O4 0.1146 0.3510 0.9254
O5 0.2023 0.8151 0.2148
O6 0.2219 0.4116 0.3814
O7 0.2305 0.1005 0.8802
O8 0.2417 0.6978 0.7424

=====

# PBE with a Hubbard U Rb2Nd2MgW4O16, optimized geometry
# Energy above the most stable polymorph in this dataset = 48 meV/atom
# Total DFT energy (no corrections) = -178.9 eV per cell
data_Rb2Nd2MgW4O16
_chemical_formula_sum 'Rb2 Nd2 Mg1 W4 O16'
_cell_length_a 7.5411
_cell_length_b 7.5900
_cell_length_c 8.3887
_cell_angle_alpha 87.66
_cell_angle_beta 64.30
_cell_angle_gamma 61.28
_space_group_name_H-M_alt 'P 1'
_space_group_IT_number 1
_space_group_name_Hall 'P 1'
loop_
_atom_site_label
_atom_site_fract_x
_atom_site_fract_y
_atom_site_fract_z
Rb1 0.0000 0.0000 0.0000
Rb2 0.4926 0.4121 0.5911
Nd1 0.5365 0.9424 0.9540
Nd2 0.9533 0.4635 0.6336
Mg1 0.3000 0.2792 0.2660
W1 0.0530 0.8908 0.4784
W2 0.4525 0.5368 0.1101
W3 0.5563 0.8928 0.4681
W4 0.9518 0.5176 0.1166
O1 0.0306 0.4681 0.8746
O2 0.1508 0.2457 0.1306
O3 0.1759 0.5893 0.0686
O4 0.2207 0.5571 0.3722
O5 0.2735 0.8447 0.2086
O6 0.3208 0.8136 0.5100
O7 0.3337 0.1759 0.4680
O8 0.4621 0.9547 0.7132
O9 0.5570 0.2362 0.0371
O10 0.5968 0.6018 0.8741
O11 0.7008 0.8131 0.1798
O12 0.7020 0.4507 0.1601
O13 0.8107 0.5835 0.3975
O14 0.8182 0.9502 0.4123
O15 0.9050 0.8149 0.6952
O16 0.9331 0.1640 0.5610